1.
Computed, not measured: a relaxed structure of AcPm2Nd at the PBE level of DFT.

Computed properties:
Relative energy among the computed polymorphs   0.44 eV per formula unit
Symmetry   Fm-3m, No. 225
Uncorrected energy   -17.83 eV/f.u.
Total magnetic moment   0.00 Bohr magnetons per cell

Unit cell a=5.946 b=5.946 c=5.946 alpha=60.00 beta=60.00 gamma=60.00
Positions (direct):
Ac 0.000 0.000 0.000
Pm 0.250 0.250 0.250
Pm 0.750 0.750 0.750
Nd 0.500 0.500 0.500

***

2.
Computed, not measured: a relaxed structure of Ac12Pm5Nd3 at the PBE level of DFT.

Computed properties:
Symmetry   Ia-3d, No. 230
Uncorrected energy   -68.75 eV/f.u.
Total magnetic moment   0.08 Bohr magnetons per cell

Unit cell a=17.270 b=17.270 c=17.270 alpha=109.47 beta=109.47 gamma=109.47
Positions (direct):
Ac 0.129 0.400 0.064
Ac 0.664 0.229 0.600
Ac 0.900 0.836 0.771
Ac 0.771 0.435 0.371
Ac 0.771 0.336 0.900
Ac 0.836 0.936 0.065
Ac 0.871 0.271 0.435
Ac 0.400 0.129 0.564
Ac 0.371 0.436 0.100
Ac 0.064 0.164 0.435
Ac 0.436 0.371 0.600
Ac 0.935 0.371 0.271
Ac 0.564 0.935 0.664
Ac 0.065 0.436 0.836
Ac 0.936 0.836 0.565
Ac 0.565 0.336 0.936
Ac 0.164 0.064 0.935
Ac 0.371 0.935 0.771
Ac 0.164 0.100 0.729
Ac 0.600 0.871 0.436
Ac 0.871 0.600 0.936
Ac 0.400 0.271 0.336
Ac 0.064 0.900 0.129
Ac 0.229 0.565 0.629
Ac 0.935 0.564 0.164
Ac 0.229 0.664 0.100
Ac 0.435 0.664 0.064
Ac 0.936 0.100 0.871
Ac 0.836 0.900 0.271
Ac 0.729 0.600 0.164
Ac 0.336 0.771 0.400
Ac 0.129 0.729 0.565
Ac 0.271 0.400 0.836
Ac 0.629 0.564 0.900
Ac 0.565 0.229 0.129
Ac 0.600 0.729 0.664
Ac 0.900 0.064 0.629
Ac 0.100 0.936 0.371
Ac 0.564 0.629 0.400
Ac 0.664 0.435 0.564
Ac 0.436 0.065 0.336
Ac 0.336 0.565 0.436
Ac 0.271 0.871 0.935
Ac 0.629 0.065 0.229
Ac 0.729 0.129 0.065
Ac 0.100 0.164 0.229
Ac 0.435 0.771 0.871
Ac 0.065 0.629 0.729
Pm 0.750 0.625 0.375
Pm 0.375 0.125 0.750
Pm 0.250 0.875 0.125
Pm 0.125 0.375 0.250
Pm 0.500 0.500 0.000
Pm 0.000 0.500 0.500
Pm 0.625 0.875 0.250
Pm 0.500 0.000 0.500
Pm 0.750 0.125 0.875
Pm 0.000 0.000 0.500
Pm 0.500 0.000 0.000
Pm 0.625 0.750 0.875
Pm 0.250 0.375 0.625
Pm 0.875 0.250 0.625
Pm 0.875 0.625 0.750
Pm 0.000 0.000 0.000
Pm 0.500 0.500 0.500
Pm 0.375 0.250 0.125
Pm 0.000 0.500 0.000
Pm 0.125 0.750 0.375
Nd 0.625 0.375 0.750
Nd 0.250 0.625 0.875
Nd 0.750 0.875 0.625
Nd 0.750 0.375 0.125
Nd 0.125 0.875 0.750
Nd 0.375 0.625 0.250
Nd 0.375 0.750 0.625
Nd 0.125 0.250 0.875
Nd 0.875 0.750 0.125
Nd 0.250 0.125 0.375
Nd 0.875 0.125 0.250
Nd 0.625 0.250 0.375

***

3.
Computed, not measured: a relaxed structure of Ac6PmNd4 at the PBE level of DFT.

Computed properties:
Symmetry   I-42m, No. 121
Uncorrected energy   -45.12 eV/f.u.
Total magnetic moment   0.00 Bohr magnetons per cell

Unit cell a=11.417 b=11.417 c=11.417 alpha=50.02 beta=145.21 gamma=145.21
Positions (direct):
Nd 0.000 0.673 0.058
Nd 0.385 0.327 0.327
Nd 0.615 0.942 0.942
Nd 0.000 0.058 0.673
Ac 0.602 0.111 0.111
Ac 0.000 0.889 0.490
Ac 0.000 0.490 0.889
Ac 0.500 0.000 0.500
Ac 0.398 0.510 0.510
Ac 0.500 0.500 0.000
Pm 0.000 0.000 0.000

***

4.
Computed, not measured: a relaxed structure of Ac15Pm4Nd at the PBE level of DFT.

Computed properties:
Symmetry   P4/mmm, No. 123
Uncorrected energy   -84.86 eV/f.u.
Total magnetic moment   0.00 Bohr magnetons per cell

Unit cell a=5.540 b=5.540 c=27.539 alpha=90.00 beta=90.00 gamma=90.00
Positions (direct):
Ac 0.000 0.500 0.300
Ac 0.000 0.500 0.900
Ac 0.500 0.500 0.600
Ac 0.500 0.500 0.200
Ac 0.500 0.500 0.400
Ac 0.500 0.000 0.500
Ac 0.000 0.500 0.500
Ac 0.500 0.000 0.100
Ac 0.500 0.000 0.300
Ac 0.000 0.500 0.100
Ac 0.500 0.500 0.000
Ac 0.500 0.000 0.900
Ac 0.500 0.500 0.800
Ac 0.500 0.000 0.700
Ac 0.000 0.500 0.700
Pm 0.000 0.000 0.200
Pm 0.000 0.000 0.600
Pm 0.000 0.000 0.800
Pm 0.000 0.000 0.400
Nd 0.000 0.000 0.000

***

5.
Computed, not measured: a relaxed structure of AcPm3Nd6 at the PBE level of DFT.

Computed properties:
Relative energy among the computed polymorphs   1.38 eV per formula unit
Symmetry   Cmc2_1, No. 36
Uncorrected energy   -44.96 eV/f.u.
Total magnetic moment   0.00 Bohr magnetons per cell

Unit cell a=7.157 b=10.133 c=10.133 alpha=94.76 beta=90.00 gamma=90.00
Positions (direct):
Nd 0.204 0.727 0.506
Nd 0.704 0.506 0.727
Nd 0.510 0.207 0.793
Nd 0.295 0.056 0.477
Nd 0.747 0.005 0.995
Nd 0.247 0.995 0.005
Nd 0.795 0.477 0.056
Nd 0.704 0.273 0.494
Nd 0.795 0.944 0.523
Nd 0.295 0.523 0.944
Nd 0.204 0.494 0.273
Nd 0.010 0.793 0.207
Ac 0.017 0.197 0.803
Ac 0.517 0.803 0.197
Pm 0.992 0.187 0.240
Pm 0.992 0.760 0.813
Pm 0.492 0.240 0.187
Pm 0.492 0.813 0.760
Pm 0.229 0.410 0.590
Pm 0.729 0.590 0.410

***

6.
Computed, not measured: a relaxed structure of Ac5Pm2Nd at the PBE level of DFT.

Computed properties:
Symmetry   Pbam, No. 55
Uncorrected energy   -34.57 eV/f.u.
Total magnetic moment   0.00 Bohr magnetons per cell

Unit cell a=5.517 b=7.699 c=15.398 alpha=90.00 beta=90.00 gamma=90.00
Positions (direct):
Ac 0.500 0.757 0.622
Ac 0.500 0.743 0.122
Ac 0.000 0.500 0.500
Ac 0.000 0.008 0.747
Ac 0.500 0.243 0.378
Ac 0.000 0.000 0.000
Ac 0.500 0.257 0.878
Ac 0.000 0.992 0.253
Ac 0.000 0.508 0.753
Ac 0.000 0.492 0.247
Pm 0.500 0.245 0.124
Pm 0.500 0.745 0.376
Pm 0.500 0.255 0.624
Pm 0.500 0.755 0.876
Nd 0.000 0.000 0.500
Nd 0.000 0.500 0.000

***

7.
Computed, not measured: a relaxed structure of AcPm7Nd4 at the PBE level of DFT.

Computed properties:
Relative energy among the computed polymorphs   0.00 eV per formula unit
Symmetry   P-1, No. 2
Uncorrected energy   -56.22 eV/f.u.
Total magnetic moment   0.00 Bohr magnetons per cell

Unit cell a=7.423 b=9.820 c=9.204 alpha=81.16 beta=90.03 gamma=40.97
Positions (direct):
Pm 0.753 0.500 0.000
Pm 0.776 0.223 0.336
Pm 0.500 0.000 0.000
Pm 0.224 0.777 0.664
Pm 0.028 0.719 0.334
Pm 0.247 0.500 0.000
Pm 0.972 0.281 0.666
Nd 0.534 0.719 0.334
Nd 0.719 0.781 0.668
Nd 0.466 0.281 0.666
Nd 0.281 0.219 0.332
Ac 0.000 0.000 0.000

***

8.
Computed, not measured: a relaxed structure of Ac4Pm3Nd at the PBE level of DFT.

Computed properties:
Symmetry   Pmn2_1, No. 31
Uncorrected energy   -35.16 eV/f.u.
Total magnetic moment   0.00 Bohr magnetons per cell

Unit cell a=7.596 b=7.595 c=10.953 alpha=90.00 beta=90.00 gamma=90.00
Positions (direct):
Ac 0.499 0.809 0.500
Ac 0.750 0.061 0.252
Ac 0.001 0.312 0.500
Ac 0.750 0.061 0.748
Ac 0.999 0.812 0.000
Ac 0.250 0.561 0.248
Ac 0.250 0.561 0.752
Ac 0.501 0.309 0.000
Pm 0.250 0.061 0.750
Pm 0.000 0.310 0.000
Pm 0.750 0.561 0.750
Pm 0.750 0.561 0.250
Pm 0.250 0.061 0.250
Pm 0.000 0.810 0.500
Nd 0.501 0.811 0.000
Nd 0.499 0.311 0.500

***

no.,energy of formation from the pure elements (meV per atom),DOS at the Fermi energy (states/eV per cell)
1,136,9.76
2,930,185.69
3,305,18.23
4,27,34.48
5,200,32.02
6,30,27.03
7,18,18.92
8,37,28.50